# La2ScRe

A relaxed La2ScRe crystal (PBE, Alexandria via LeMat-Bulk).

Lattice parameters (Å, degrees): 5.2250 5.2250 5.2250 60.00 60.00 60.00
Atoms (fractional coordinates):
La 0.2500 0.2500 0.2500
La 0.7500 0.7500 0.7500
Re 0.5000 0.5000 0.5000
Sc 0.0000 0.0000 0.0000

Calculated values
**Space group**: Fm-3m
**Total DFT energy (no corrections)**: -6.78 eV per atom
**Total magnetization**: 0.000 μB per atom
**Energy relative to the elements**: 0.38 eV per atom
**E above lowest polymorph**: 209.7 meV per atom